1.
The following is a PBE-GGA calculation of Sc2Cu2Rh after structural relaxation, from Alexandria.

Lattice parameters (Å, degrees): 4.9492 4.9492 5.0427 60.61 60.61 90.00
Positions (direct):
Cu  0.3501  0.3501  0.2998
Cu  0.6499  0.6499  0.7002
Rh  0.0000  0.0000  0.0000
Sc  0.7500  0.2500  0.5000
Sc  0.2500  0.7500  0.5000

Results
**Space-group type**: No. 139
**Distance to the lowest polymorph of the same formula**: 265 meV per atom
**Formation enthalpy at 0 K**: -0.1377 eV per atom


2.
The following is a PBE-GGA calculation of Sc8Cu2Rh after structural relaxation, from Alexandria.

Lattice parameters (Å, degrees): 4.7546 6.2925 8.3099 108.11 106.62 90.00
Positions (direct):
Sc  0.3314  0.0256  0.6627
Sc  0.6686  0.9744  0.3373
Sc  0.1951  0.3085  0.3901
Sc  0.9700  0.2118  0.9401
Sc  0.4055  0.5520  0.8111
Sc  0.0300  0.7882  0.0599
Sc  0.8049  0.6915  0.6099
Sc  0.5945  0.4480  0.1889
Cu  0.1815  0.7070  0.3629
Cu  0.8185  0.2930  0.6371
Rh  0.5000  0.0000  0.0000

Results
**Space-group type**: No. 12
**Distance to the lowest polymorph of the same formula**: 0 meV per atom
**Formation enthalpy at 0 K**: -0.3075 eV per atom


3.
The following is a PBE-GGA calculation of ScCu3Rh after structural relaxation, from Alexandria.

Lattice parameters (Å, degrees): 4.5880 4.5880 4.5880 90.00 90.00 90.00
Positions (direct):
Cu  0.0000  0.5000  0.0000
Cu  0.0000  0.0000  0.5000
Cu  0.5000  0.0000  0.0000
Sc  0.5000  0.5000  0.5000
Rh  0.0000  0.0000  0.0000

Results
**Space-group type**: No. 221
**Distance to the lowest polymorph of the same formula**: 0 meV per atom
**Formation enthalpy at 0 K**: 0.5834 eV per atom


4.
The following is a PBE-GGA calculation of ScCuSiRh after structural relaxation, from Alexandria.

Lattice parameters (Å, degrees): 4.3523 4.3523 4.3523 60.00 60.00 60.00
Positions (direct):
Rh  0.2500  0.2500  0.2500
Sc  0.0000  0.0000  0.0000
Cu  0.7500  0.7500  0.7500
Si  0.5000  0.5000  0.5000

Results
**Space-group type**: No. 216
**Raw formation energy**: -0.600 eV per atom


Repeat the third record exactly.
The following is a PBE-GGA calculation of ScCu3Rh after structural relaxation, from Alexandria.

Lattice parameters (Å, degrees): 4.5880 4.5880 4.5880 90.00 90.00 90.00
Positions (direct):
Cu  0.0000  0.5000  0.0000
Cu  0.0000  0.0000  0.5000
Cu  0.5000  0.0000  0.0000
Sc  0.5000  0.5000  0.5000
Rh  0.0000  0.0000  0.0000

Results
**Space-group type**: No. 221
**Distance to the lowest polymorph of the same formula**: 0 meV per atom
**Formation enthalpy at 0 K**: 0.5834 eV per atom


What did the second record say?
The following is a PBE-GGA calculation of Sc8Cu2Rh after structural relaxation, from Alexandria.

Lattice parameters (Å, degrees): 4.7546 6.2925 8.3099 108.11 106.62 90.00
Positions (direct):
Sc  0.3314  0.0256  0.6627
Sc  0.6686  0.9744  0.3373
Sc  0.1951  0.3085  0.3901
Sc  0.9700  0.2118  0.9401
Sc  0.4055  0.5520  0.8111
Sc  0.0300  0.7882  0.0599
Sc  0.8049  0.6915  0.6099
Sc  0.5945  0.4480  0.1889
Cu  0.1815  0.7070  0.3629
Cu  0.8185  0.2930  0.6371
Rh  0.5000  0.0000  0.0000

Results
**Space-group type**: No. 12
**Distance to the lowest polymorph of the same formula**: 0 meV per atom
**Formation enthalpy at 0 K**: -0.3075 eV per atom